[1]
Compound: Mg3Ga3Ag5
Source: the Alexandria database
Functional: PBE
Structure: optimized geometry

Calculated values
* total DFT energy (no corrections): -2.411 eV/atom
* theoretical density: 5.166 g cm⁻³
* crystal system: hexagonal
* DFT formation energy: 0.145 eV per atom

Unit cell a=7.958 b=7.958 c=4.814 alpha=90.00 beta=90.00 gamma=120.00
Element x y z (fractional)
Mg (0.000, 0.457, 0.000)
Mg (0.457, 0.000, 0.000)
Mg (0.543, 0.543, 0.000)
Ga (0.000, 0.650, 0.500)
Ga (0.350, 0.350, 0.500)
Ga (0.650, 0.000, 0.500)
Ag (0.000, 0.276, 0.500)
Ag (0.276, 0.000, 0.500)
Ag (0.333, 0.667, 0.500)
Ag (0.667, 0.333, 0.500)
Ag (0.724, 0.724, 0.500)



[2]
Compound: MgGa2Ag3
Source: the Alexandria database
Functional: PBE
Structure: optimized geometry

Calculated values
* total DFT energy (no corrections): -2.741 eV/atom
* theoretical density: 7.199 g cm⁻³
* crystal system: monoclinic
* energy relative to the lowest polymorph listed for this composition: 39 meV/atom
* DFT formation energy: -0.040 eV per atom

Unit cell a=7.442 b=7.442 c=7.065 alpha=98.00 beta=98.00 gamma=35.51
Element x y z (fractional)
Mg (0.153, 0.153, 0.238)
Mg (0.847, 0.847, 0.762)
Ga (0.224, 0.224, 0.705)
Ga (0.475, 0.475, 0.818)
Ga (0.525, 0.525, 0.182)
Ga (0.776, 0.776, 0.295)
Ag (0.038, 0.038, 0.700)
Ag (0.325, 0.325, 0.058)
Ag (0.367, 0.367, 0.470)
Ag (0.633, 0.633, 0.530)
Ag (0.675, 0.675, 0.942)
Ag (0.962, 0.962, 0.300)



[3]
Compound: Mg3Ga5Ag
Source: the Alexandria database
Functional: PBE
Structure: optimized geometry

Calculated values
* total DFT energy (no corrections): -2.489 eV/atom
* theoretical density: 4.668 g cm⁻³
* crystal system: tetragonal
* DFT formation energy: 0.040 eV per atom

Unit cell a=7.984 b=7.984 c=7.984 alpha=116.49 beta=116.49 gamma=96.19
Element x y z (fractional)
Mg (0.117, 0.617, 0.734)
Mg (0.250, 0.250, 0.000)
Mg (0.383, 0.117, 0.500)
Mg (0.617, 0.883, 0.500)
Mg (0.750, 0.750, 0.000)
Mg (0.883, 0.383, 0.266)
Ga (0.000, 0.000, 0.000)
Ga (0.056, 0.168, 0.500)
Ga (0.168, 0.668, 0.113)
Ga (0.332, 0.444, 0.500)
Ga (0.444, 0.944, 0.113)
Ga (0.500, 0.500, 0.000)
Ga (0.556, 0.056, 0.887)
Ga (0.668, 0.556, 0.500)
Ga (0.832, 0.332, 0.887)
Ga (0.944, 0.832, 0.500)
Ag (0.250, 0.750, 0.500)
Ag (0.750, 0.250, 0.500)



[4]
Compound: MgGaAg2
Source: the Alexandria database
Functional: PBE
Structure: optimized geometry

Calculated values
* total DFT energy (no corrections): -2.713 eV/atom
* theoretical density: 7.233 g cm⁻³
* crystal system: tetragonal
* DFT formation energy: -0.132 eV per atom

Unit cell a=4.362 b=4.362 c=3.737 alpha=90.00 beta=90.00 gamma=90.00
Element x y z (fractional)
Mg (0.000, 0.000, 0.000)
Ga (0.500, 0.500, 0.000)
Ag (0.000, 0.500, 0.500)
Ag (0.500, 0.000, 0.500)